1.
Crystalline CeGe2Ir2Pt at its relaxed geometry. Source: Alexandria via LeMat-Bulk, functional PBE.

* formation energy from the elements: -0.086 eV/atom
* DFT total energy: -6.57 eV/atom

Unit cell a=4.6955 b=4.6955 c=5.5007 alpha=90.00 beta=90.00 gamma=90.00
Closest atoms and distances in Å follow each position.
Space group P4/mmm (No. 123)
One atom of each set of equivalent atoms:
Ce1 0.0000 0.0000 0.0000 x1  2 Pt 2.75
Ge1 0.0000 0.5000 0.5000 x2  2 Pt 2.35
Ir1 0.5000 0.5000 0.2353 x2  1 Ir 2.59, 4 Ge 2.76
Pt1 0.0000 0.0000 0.5000 x1  4 Ge 2.35

2.
Crystalline CoOs2S at its relaxed geometry. Source: Alexandria via LeMat-Bulk, functional PBE.

* ΔE_f (raw): 2.46 eV/f.u.
* DFT total energy: -7.81 eV/atom

Unit cell a=5.8894 b=5.8894 c=5.8894 alpha=90.00 beta=90.00 gamma=90.00
Closest atoms and distances in Å follow each position.
Space group Fm-3m (No. 225)
One atom of each set of equivalent atoms:
Co1 0.0000 0.0000 0.0000 x4  8 Os 2.55
Os1 0.2500 0.2500 0.2500 x8  4 S 2.55, 4 Co 2.55
S1 0.0000 0.0000 0.5000 x4  8 Os 2.55

3.
Crystalline CoCuIr6 at its relaxed geometry. Source: Alexandria via LeMat-Bulk, functional PBE.

* formation energy from the elements: 0.045 eV/atom
* DFT total energy: -8.00 eV/atom

Unit cell a=8.5378 b=3.8046 c=7.6367 alpha=90.00 beta=116.55 gamma=90.00
Closest atoms and distances in Å follow each position.
Space group C2/m (No. 12)
One atom of each set of equivalent atoms:
Co1 0.0000 0.0000 0.0000 x2  12 Ir 2.66-2.70
Cu1 0.0000 0.0000 0.5000 x2  12 Ir 2.70-2.73
Ir1 0.0012 0.5000 0.2444 x4  2 Co 2.66, 8 Ir 2.66-2.74, 2 Cu 2.73
Ir2 0.2497 0.0000 0.3742 x4  8 Ir 2.69-2.74, 1 Co 2.70, 3 Cu 2.70
Ir3 0.2502 0.0000 0.8762 x4  8 Ir 2.66-2.70, 3 Co 2.69-2.70, 1 Cu 2.71

4.
Crystalline RbZnCl3 at its relaxed geometry. Source: Alexandria via LeMat-Bulk, functional PBE.

* ΔE_f (raw): -5.09 eV/f.u.
* DFT total energy: -2.58 eV/atom

Unit cell a=8.7442 b=16.6849 c=4.6819 alpha=90.00 beta=90.00 gamma=90.00
Closest atoms and distances in Å follow each position.
Space group Cmcm (No. 63)
One atom of each set of equivalent atoms:
Rb1 0.0000 0.1834 0.2500 x4  8 Cl 3.28-3.53
Zn1 0.0000 0.4374 0.2500 x4  2 Cl 2.27
Cl1 0.0000 0.0000 0.0000 x4  2 Cl 2.34
Cl2 0.2059 0.3544 0.2500 x8  1 Zn 2.27

5.
Crystalline Al3MoH at its relaxed geometry. Source: Alexandria via LeMat-Bulk, functional PBE.

* DFT total energy: -4.02 eV/atom

Unit cell a=4.9052 b=4.9052 c=4.9052 alpha=90.00 beta=90.00 gamma=90.00
Closest atoms and distances in Å follow each position.
Space group Pm-3m (No. 221)
One atom of each set of equivalent atoms:
Al1 0.0000 0.0000 0.5000 x3  2 Mo 2.45
Mo1 0.0000 0.0000 0.0000 x1  6 Al 2.45
H1 0.5000 0.5000 0.5000 x1  12 Al 3.47

6.
Crystalline Pr2SmErP4 at its relaxed geometry. Source: Alexandria via LeMat-Bulk, functional PBE.

* formation energy from the elements: -1.542 eV/atom
* DFT total energy: -6.60 eV/atom

Unit cell a=7.1368 b=4.1250 c=7.1388 alpha=90.00 beta=109.46 gamma=90.00
Closest atoms and distances in Å follow each position.
Space group P2/m (No. 10)
One atom of each set of equivalent atoms:
Pr1 0.0000 0.0000 0.0000 x1  6 P 2.94
Pr2 0.0000 0.5000 0.5000 x1  6 P 2.97
Sm1 0.5000 0.0000 0.5000 x1  6 P 2.89
Er1 0.5000 0.5000 0.0000 x1  6 P 2.86
P1 0.2585 0.5000 0.2490 x2  1 Er 2.86, 2 Sm 2.89, 3 Pr 2.94-2.97
P2 0.2613 0.0000 0.7575 x2  2 Er 2.86, 1 Sm 2.89, 3 Pr 2.94-2.97

7.
Crystalline TaHgOs2 at its relaxed geometry. Source: Alexandria via LeMat-Bulk, functional PBE.

* formation energy from the elements: 0.408 eV/atom
* DFT total energy: -8.25 eV/atom

Unit cell a=9.6329 b=2.9343 c=4.8198 alpha=90.00 beta=101.46 gamma=90.00
Closest atoms and distances in Å follow each position.
Space group Cm (No. 8)
One atom of each set of equivalent atoms:
Ta1 0.0000 0.0000 0.0000 x2  5 Os 2.66-2.86, 1 Hg 2.86, 2 Ta 2.93
Hg1 0.2628 0.5000 0.2753 x2  7 Os 2.80-2.98, 3 Ta 2.86-3.00, 2 Hg 2.93
Os1 0.0228 0.5000 0.5504 x2  4 Os 2.66-2.93, 2 Ta 2.66, 3 Hg 2.88-2.98
Os2 0.2493 0.0000 0.7646 x2  4 Os 2.66-2.93, 4 Hg 2.80-2.85, 3 Ta 2.85-2.86

8.
Crystalline BaSmTe2O8 at its relaxed geometry. Source: Alexandria via LeMat-Bulk, functional PBE.

* ΔE_f (raw): -20.75 eV/f.u.
* DFT total energy: -6.11 eV/atom

Unit cell a=6.1116 b=6.1116 c=7.7947 alpha=90.00 beta=90.00 gamma=120.00
Closest atoms and distances in Å follow each position.
Space group P-3 (No. 147)
One atom of each set of equivalent atoms:
Ba1 0.0000 0.0000 0.0000 x1  6 O 2.88
Sm1 0.0000 0.0000 0.5000 x1  6 O 2.32
Te1 0.3333 0.6667 0.7698 x2  4 O 1.84-1.90
O1 0.1595 0.8377 0.7019 x6  1 Te 1.90
O2 0.3333 0.6667 0.0061 x2  1 Te 1.84